Here is a relaxed structure of SiMo2Pt from Alexandria via LeMat-Bulk. Energies are from PBE-GGA.

a b c (Å): 3.8786 3.8786 7.9878
angles (deg): 90.00 90.00 90.00
Last column: nearest neighbours and their distance in Å.
Space group I-4m2 (No. 119)
Unique sites:
Si  0.0000  0.0000  0.0000 [2 per cell]  8 Mo 2.74-2.78, 4 Pt 2.78
Mo  0.0000  0.0000  0.5000 [2 per cell]  4 Si 2.74, 4 Pt 2.78, 4 Mo 2.78
Mo  0.0000  0.5000  0.7500 [2 per cell]  4 Pt 2.74, 4 Mo 2.78, 4 Si 2.78
Pt  0.0000  0.5000  0.2500 [2 per cell]  8 Mo 2.74-2.78, 4 Si 2.78

Output
VASP energy: -0.619 Ry/atom
Formation energy without anion corrections: -0.15 eV per atom